Entry 1:
# LaCd3Te | Alexandria via LeMat-Bulk | PBE-GGA | relaxed
# M_tot in μB/atom: 0.000
# ρ in Mg/m³: 5.7
# Final energy in eV/atom: -1.821
data_LaCd3Te
_space_group_name_H-M_alt 'P m -3 m'
_space_group_IT_number 221
_space_group_name_Hall '-P 4 2 3'
_cell_length_a 5.588
_cell_length_b 5.588
_cell_length_c 5.588
_cell_angle_alpha 90.00
_cell_angle_beta 90.00
_cell_angle_gamma 90.00
loop_
_atom_site_label
_atom_site_fract_x
_atom_site_fract_y
_atom_site_fract_z
La1 0.000 0.000 0.000
Cd1 0.000 0.500 0.500
Te1 0.500 0.500 0.500

***

Entry 2:
# K3Dy | Alexandria via LeMat-Bulk | PBE-GGA | relaxed
# M_tot in μB/atom: 0.000
# ρ in Mg/m³: 2.1
# Formation enthalpy at 0 K in eV/atom: 0.586
# Final energy in eV/atom: -1.387
data_K3Dy
_space_group_name_H-M_alt 'F m -3 m'
_space_group_IT_number 225
_space_group_name_Hall '-F 4 2 3'
_cell_length_a 9.669
_cell_length_b 9.669
_cell_length_c 9.669
_cell_angle_alpha 90.00
_cell_angle_beta 90.00
_cell_angle_gamma 90.00
loop_
_atom_site_label
_atom_site_fract_x
_atom_site_fract_y
_atom_site_fract_z
K1 0.000 0.000 0.000
K2 0.250 0.250 0.250
Dy1 0.000 0.000 0.500

***

Entry 3:
# HfSc5As4 | Alexandria via LeMat-Bulk | PBE-GGA | relaxed
# M_tot in μB/atom: 0.000
# ρ in Mg/m³: 5.2
# Formation enthalpy at 0 K in eV/atom: -0.956
# Final energy in eV/atom: -6.977
data_HfSc5As4
_space_group_name_H-M_alt 'C 1 2/m 1'
_space_group_IT_number 12
_cell_length_a 16.491
_cell_length_b 3.818
_cell_length_c 7.448
_cell_angle_alpha 90.00
_cell_angle_beta 105.78
_cell_angle_gamma 90.00
loop_
_space_group_symop_operation_xyz
'x,y,z'
'-x,-y,-z'
'-x,y,-z'
'x,-y,z'
'x+1/2,y+1/2,z'
'-x+1/2,-y+1/2,-z'
'-x+1/2,y+1/2,-z'
'x+1/2,-y+1/2,z'
loop_
_atom_site_label
_atom_site_fract_x
_atom_site_fract_y
_atom_site_fract_z
Hf1 0.000 0.000 0.000
Sc1 0.000 0.000 0.500
Sc2 0.164 0.500 0.838
Sc3 0.173 0.500 0.351
As1 0.005 0.500 0.257
As2 0.171 0.000 0.097

***

Entry 4:
# CoSiRh2 | Alexandria via LeMat-Bulk | PBE-GGA | relaxed
# M_tot in μB/atom: 0.469
# ρ in Mg/m³: 9.5
# Final energy in eV/atom: -7.184
data_CoSiRh2
_space_group_name_H-M_alt 'C 1 m 1'
_space_group_IT_number 8
_cell_length_a 9.063
_cell_length_b 2.749
_cell_length_c 4.373
_cell_angle_alpha 90.00
_cell_angle_beta 110.45
_cell_angle_gamma 90.00
loop_
_space_group_symop_operation_xyz
'x,y,z'
'x,-y,z'
'x+1/2,y+1/2,z'
'x+1/2,-y+1/2,z'
loop_
_atom_site_label
_atom_site_fract_x
_atom_site_fract_y
_atom_site_fract_z
Co1 0.000 0.000 0.000
Si1 0.214 0.500 0.316
Rh1 0.238 0.000 0.819
Rh2 0.453 0.000 0.467

***

Entry 5:
# In2SiTcAg | Alexandria via LeMat-Bulk | PBE-GGA | relaxed
# M_tot in μB/atom: 0.618
# ρ in Mg/m³: 5.7
# Final energy in eV/atom: -3.529
data_In2SiTcAg
_space_group_name_H-M_alt 'P 4/m m m'
_space_group_IT_number 123
_space_group_name_Hall '-P 4 2'
_cell_length_a 5.081
_cell_length_b 5.081
_cell_length_c 5.207
_cell_angle_alpha 90.00
_cell_angle_beta 90.00
_cell_angle_gamma 90.00
loop_
_atom_site_label
_atom_site_fract_x
_atom_site_fract_y
_atom_site_fract_z
In1 0.000 0.500 0.000
Si1 0.000 0.000 0.500
Tc1 0.500 0.500 0.500
Ag1 0.500 0.500 0.000

***

Entry 6:
# Ce3CdIr8 | Alexandria via LeMat-Bulk | PBE-GGA | relaxed
# M_tot in μB/atom: 0.000
# ρ in Mg/m³: 15.7
# Formation enthalpy at 0 K in eV/atom: -0.593
# Final energy in eV/atom: -8.060
data_Ce3CdIr8
_space_group_name_H-M_alt 'R 3 m'
_space_group_IT_number 160
_space_group_name_Hall 'R 3 -2"'
_cell_length_a 5.3679
_cell_length_b 5.3679
_cell_length_c 26.3181
_cell_angle_alpha 90.00
_cell_angle_beta 90.00
_cell_angle_gamma 120.00
loop_
_atom_site_label
_atom_site_fract_x
_atom_site_fract_y
_atom_site_fract_z
Ce1 0.0000 0.0000 0.0000
Ce2 0.0000 0.0000 0.1272
Ce3 0.0000 0.0000 0.6193
Cd1 0.0000 0.0000 0.4968
Ir1 0.0000 0.0000 0.3115
Ir2 0.0000 0.0000 0.8116
Ir3 0.0001 0.5001 0.0612
Ir4 0.0019 0.5009 0.5616

***

Entry 7:
# RbTeO2 | Alexandria via LeMat-Bulk | PBE-GGA | relaxed
# M_tot in μB/atom: 0.000
# ρ in Mg/m³: 5.0
# Final energy in eV/atom: -4.501
data_RbTeO2
_space_group_name_H-M_alt 'P 31 2 1'
_space_group_IT_number 152
_cell_length_a 6.1524
_cell_length_b 6.1524
_cell_length_c 7.5095
_cell_angle_alpha 90.00
_cell_angle_beta 90.00
_cell_angle_gamma 120.00
loop_
_space_group_symop_operation_xyz
'x,y,z'
'-y,x-y,z+1/3'
'-x+y,-x,z+2/3'
'y,x,-z'
'x-y,-y,-z+2/3'
'-x,-x+y,-z+1/3'
loop_
_atom_site_label
_atom_site_fract_x
_atom_site_fract_y
_atom_site_fract_z
Rb1 0.0000 0.6611 0.1667
Te1 0.0000 0.6520 0.6667
O1 0.1490 0.5040 0.8327

***

Entry 8:
# Ac2SmI2N2 | Alexandria via LeMat-Bulk | PBE-GGA | relaxed
# M_tot in μB/atom: 0.140
# ρ in Mg/m³: 6.9
# Final energy in eV/atom: -5.845
data_Ac2SmI2N2
_space_group_name_H-M_alt 'I 4/m m m'
_space_group_IT_number 139
_space_group_name_Hall '-I 4 2'
_cell_length_a 4.697
_cell_length_b 4.697
_cell_length_c 19.296
_cell_angle_alpha 90.00
_cell_angle_beta 90.00
_cell_angle_gamma 90.00
loop_
_atom_site_label
_atom_site_fract_x
_atom_site_fract_y
_atom_site_fract_z
Ac1 0.000 0.000 0.083
Sm1 0.000 0.000 0.500
I1 0.000 0.000 0.331
N1 0.000 0.500 0.000